No. 1
# ScTcAs2Br (PBE, optimized geometry)
data_ScTcAs2Br
_chemical_formula_sum 'Sc1 Tc1 As2 Br1'
_cell_length_a 4.748
_cell_length_b 4.748
_cell_length_c 5.297
_cell_angle_alpha 90.00
_cell_angle_beta 90.00
_cell_angle_gamma 90.00
_symmetry_space_group_name_H-M 'P 4/m m m'
_symmetry_Int_Tables_number 123
_symmetry_space_group_name_Hall '-P 4 2'
loop_
_atom_site_label
_atom_site_fract_x
_atom_site_fract_y
_atom_site_fract_z
_atom_site_occupancy
Sc1 0.000 0.000 0.000 1
Tc1 0.500 0.500 0.500 1
As1 0.000 0.500 0.500 1
Br1 0.500 0.500 0.000 1
# E above lowest polymorph: 0 meV/atom

***

No. 2
# ScTcAs2Br (PBE, optimized geometry)
data_ScTcAs2Br
_chemical_formula_sum 'Sc1 Tc1 As2 Br1'
_cell_length_a 5.163
_cell_length_b 5.163
_cell_length_c 5.095
_cell_angle_alpha 90.00
_cell_angle_beta 90.00
_cell_angle_gamma 90.00
_symmetry_space_group_name_H-M 'P 4/m m m'
_symmetry_Int_Tables_number 123
_symmetry_space_group_name_Hall '-P 4 2'
loop_
_atom_site_label
_atom_site_fract_x
_atom_site_fract_y
_atom_site_fract_z
_atom_site_occupancy
Sc1 0.000 0.000 0.000 1
Tc1 0.500 0.500 0.500 1
As1 0.000 0.500 0.000 1
Br1 0.000 0.000 0.500 1
# E above lowest polymorph: 414 meV/atom

***

No. 3
# ScTeAs2Br (PBE, optimized geometry)
data_ScTeAs2Br
_chemical_formula_sum 'Sc1 Te1 As2 Br1'
_cell_length_a 5.326
_cell_length_b 5.326
_cell_length_c 4.960
_cell_angle_alpha 90.00
_cell_angle_beta 90.00
_cell_angle_gamma 90.00
_symmetry_space_group_name_H-M 'P 4/m m m'
_symmetry_Int_Tables_number 123
_symmetry_space_group_name_Hall '-P 4 2'
loop_
_atom_site_label
_atom_site_fract_x
_atom_site_fract_y
_atom_site_fract_z
_atom_site_occupancy
Sc1 0.000 0.000 0.000 1
Te1 0.500 0.500 0.500 1
As1 0.000 0.500 0.000 1
Br1 0.000 0.000 0.500 1
# E above lowest polymorph: 0 meV/atom

***

No. 4
# ScTeAs2Br (PBE, optimized geometry)
data_ScTeAs2Br
_chemical_formula_sum 'Sc1 Te1 As2 Br1'
_cell_length_a 5.359
_cell_length_b 5.359
_cell_length_c 5.281
_cell_angle_alpha 90.00
_cell_angle_beta 90.00
_cell_angle_gamma 90.00
_symmetry_space_group_name_H-M 'P 4/m m m'
_symmetry_Int_Tables_number 123
_symmetry_space_group_name_Hall '-P 4 2'
loop_
_atom_site_label
_atom_site_fract_x
_atom_site_fract_y
_atom_site_fract_z
_atom_site_occupancy
Sc1 0.000 0.000 0.000 1
Te1 0.500 0.500 0.500 1
As1 0.000 0.500 0.500 1
Br1 0.500 0.500 0.000 1
# E above lowest polymorph: 581 meV/atom

***

No. 5
# ScTiAsBr2 (PBE, optimized geometry)
data_ScTiAsBr2
_chemical_formula_sum 'Sc1 Ti1 As1 Br2'
_cell_length_a 5.088
_cell_length_b 5.088
_cell_length_c 5.429
_cell_angle_alpha 90.00
_cell_angle_beta 90.00
_cell_angle_gamma 90.00
_symmetry_space_group_name_H-M 'P 4/m m m'
_symmetry_Int_Tables_number 123
_symmetry_space_group_name_Hall '-P 4 2'
loop_
_atom_site_label
_atom_site_fract_x
_atom_site_fract_y
_atom_site_fract_z
_atom_site_occupancy
Sc1 0.000 0.000 0.000 1
Ti1 0.500 0.500 0.500 1
As1 0.000 0.000 0.500 1
Br1 0.000 0.500 0.000 1
# E above lowest polymorph: 196 meV/atom

***

No. 6
# ScTiAsBr2 (PBE, optimized geometry)
data_ScTiAsBr2
_chemical_formula_sum 'Sc1 Ti1 As1 Br2'
_cell_length_a 4.973
_cell_length_b 4.973
_cell_length_c 5.187
_cell_angle_alpha 90.00
_cell_angle_beta 90.00
_cell_angle_gamma 90.00
_symmetry_space_group_name_H-M 'P 4/m m m'
_symmetry_Int_Tables_number 123
_symmetry_space_group_name_Hall '-P 4 2'
loop_
_atom_site_label
_atom_site_fract_x
_atom_site_fract_y
_atom_site_fract_z
_atom_site_occupancy
Sc1 0.000 0.000 0.000 1
Ti1 0.500 0.500 0.500 1
As1 0.500 0.500 0.000 1
Br1 0.000 0.500 0.500 1
# E above lowest polymorph: 0 meV/atom

***

No. 7
# ScTlAsBr2 (PBE, optimized geometry)
data_ScTlAsBr2
_chemical_formula_sum 'Sc1 Tl1 As1 Br2'
_cell_length_a 5.540
_cell_length_b 5.540
_cell_length_c 5.450
_cell_angle_alpha 90.00
_cell_angle_beta 90.00
_cell_angle_gamma 90.00
_symmetry_space_group_name_H-M 'P 4/m m m'
_symmetry_Int_Tables_number 123
_symmetry_space_group_name_Hall '-P 4 2'
loop_
_atom_site_label
_atom_site_fract_x
_atom_site_fract_y
_atom_site_fract_z
_atom_site_occupancy
Sc1 0.000 0.000 0.000 1
Tl1 0.500 0.500 0.500 1
As1 0.500 0.500 0.000 1
Br1 0.000 0.500 0.500 1
# E above lowest polymorph: 1000 meV/atom

***

No. 8
# ScTlAsBr2 (PBE, optimized geometry)
data_ScTlAsBr2
_chemical_formula_sum 'Sc1 Tl1 As1 Br2'
_cell_length_a 5.341
_cell_length_b 5.341
_cell_length_c 5.369
_cell_angle_alpha 90.00
_cell_angle_beta 90.00
_cell_angle_gamma 90.00
_symmetry_space_group_name_H-M 'P 4/m m m'
_symmetry_Int_Tables_number 123
_symmetry_space_group_name_Hall '-P 4 2'
loop_
_atom_site_label
_atom_site_fract_x
_atom_site_fract_y
_atom_site_fract_z
_atom_site_occupancy
Sc1 0.000 0.000 0.000 1
Tl1 0.500 0.500 0.500 1
As1 0.000 0.000 0.500 1
Br1 0.000 0.500 0.000 1
# E above lowest polymorph: 0 meV/atom

***

No. 9
# ScAsWBr2 (PBE, optimized geometry)
data_ScAsWBr2
_chemical_formula_sum 'Sc1 As1 W1 Br2'
_cell_length_a 5.022
_cell_length_b 5.022
_cell_length_c 5.619
_cell_angle_alpha 90.00
_cell_angle_beta 90.00
_cell_angle_gamma 90.00
_symmetry_space_group_name_H-M 'P 4/m m m'
_symmetry_Int_Tables_number 123
_symmetry_space_group_name_Hall '-P 4 2'
loop_
_atom_site_label
_atom_site_fract_x
_atom_site_fract_y
_atom_site_fract_z
_atom_site_occupancy
Sc1 0.000 0.000 0.000 1
As1 0.000 0.000 0.500 1
W1 0.500 0.500 0.500 1
Br1 0.000 0.500 0.000 1
# E above lowest polymorph: 123 meV/atom

***

No. 10
# ScAsWBr2 (PBE, optimized geometry)
data_ScAsWBr2
_chemical_formula_sum 'Sc1 As1 W1 Br2'
_cell_length_a 5.160
_cell_length_b 5.160
_cell_length_c 4.950
_cell_angle_alpha 90.00
_cell_angle_beta 90.00
_cell_angle_gamma 90.00
_symmetry_space_group_name_H-M 'P 4/m m m'
_symmetry_Int_Tables_number 123
_symmetry_space_group_name_Hall '-P 4 2'
loop_
_atom_site_label
_atom_site_fract_x
_atom_site_fract_y
_atom_site_fract_z
_atom_site_occupancy
Sc1 0.000 0.000 0.000 1
As1 0.500 0.500 0.000 1
W1 0.500 0.500 0.500 1
Br1 0.000 0.500 0.500 1
# E above lowest polymorph: 0 meV/atom

***

No. 11
Compound: Y2ScAsBr
Source: Alexandria
Functional: PBE
Structure: optimized geometry

CIF file:
```
data_Y2ScAsBr
_chemical_formula_sum 'Y2 Sc1 As1 Br1'
_cell_length_a 5.636
_cell_length_b 5.636
_cell_length_c 4.805
_cell_angle_alpha 90.00
_cell_angle_beta 90.00
_cell_angle_gamma 90.00
_symmetry_space_group_name_H-M 'P 4/m m m'
_symmetry_Int_Tables_number 123
_symmetry_space_group_name_Hall '-P 4 2'
loop_
_atom_site_label
_atom_site_fract_x
_atom_site_fract_y
_atom_site_fract_z
_atom_site_occupancy
Y1 0.000 0.500 0.000 1
Sc1 0.000 0.000 0.000 1
As1 0.500 0.500 0.500 1
Br1 0.000 0.000 0.500 1
```

***

No. 12
# ScZnAsBr2 (PBE, optimized geometry)
data_ScZnAsBr2
_chemical_formula_sum 'Sc1 Zn1 As1 Br2'
_cell_length_a 5.187
_cell_length_b 5.187
_cell_length_c 5.496
_cell_angle_alpha 90.00
_cell_angle_beta 90.00
_cell_angle_gamma 90.00
_symmetry_space_group_name_H-M 'P 4/m m m'
_symmetry_Int_Tables_number 123
_symmetry_space_group_name_Hall '-P 4 2'
loop_
_atom_site_label
_atom_site_fract_x
_atom_site_fract_y
_atom_site_fract_z
_atom_site_occupancy
Sc1 0.000 0.000 0.000 1
Zn1 0.500 0.500 0.500 1
As1 0.000 0.000 0.500 1
Br1 0.000 0.500 0.000 1
# E above lowest polymorph: 0 meV/atom

***

No. 13
# ScZnAsBr2 (PBE, optimized geometry)
data_ScZnAsBr2
_chemical_formula_sum 'Sc1 Zn1 As1 Br2'
_cell_length_a 4.952
_cell_length_b 4.952
_cell_length_c 5.189
_cell_angle_alpha 90.00
_cell_angle_beta 90.00
_cell_angle_gamma 90.00
_symmetry_space_group_name_H-M 'P 4/m m m'
_symmetry_Int_Tables_number 123
_symmetry_space_group_name_Hall '-P 4 2'
loop_
_atom_site_label
_atom_site_fract_x
_atom_site_fract_y
_atom_site_fract_z
_atom_site_occupancy
Sc1 0.000 0.000 0.000 1
Zn1 0.500 0.500 0.500 1
As1 0.500 0.500 0.000 1
Br1 0.000 0.500 0.500 1
# E above lowest polymorph: 382 meV/atom

***

No. 14
# ZrScAs2Br (PBE, optimized geometry)
data_ZrScAs2Br
_chemical_formula_sum 'Zr1 Sc1 As2 Br1'
_cell_length_a 5.213
_cell_length_b 5.213
_cell_length_c 5.146
_cell_angle_alpha 90.00
_cell_angle_beta 90.00
_cell_angle_gamma 90.00
_symmetry_space_group_name_H-M 'P 4/m m m'
_symmetry_Int_Tables_number 123
_symmetry_space_group_name_Hall '-P 4 2'
loop_
_atom_site_label
_atom_site_fract_x
_atom_site_fract_y
_atom_site_fract_z
_atom_site_occupancy
Zr1 0.000 0.000 0.000 1
Sc1 0.500 0.500 0.500 1
As1 0.000 0.500 0.000 1
Br1 0.000 0.000 0.500 1
# E above lowest polymorph: 0 meV/atom

***

No. 15
# ZrScAs2Br (PBE, optimized geometry)
data_ZrScAs2Br
_chemical_formula_sum 'Zr1 Sc1 As2 Br1'
_cell_length_a 5.105
_cell_length_b 5.105
_cell_length_c 4.978
_cell_angle_alpha 90.00
_cell_angle_beta 90.00
_cell_angle_gamma 90.00
_symmetry_space_group_name_H-M 'P 4/m m m'
_symmetry_Int_Tables_number 123
_symmetry_space_group_name_Hall '-P 4 2'
loop_
_atom_site_label
_atom_site_fract_x
_atom_site_fract_y
_atom_site_fract_z
_atom_site_occupancy
Zr1 0.000 0.000 0.000 1
Sc1 0.500 0.500 0.500 1
As1 0.000 0.500 0.500 1
Br1 0.500 0.500 0.000 1
# E above lowest polymorph: 179 meV/atom

***

No. 16
# AsSeBr2 (PBE, optimized geometry)
data_AsSeBr2
_chemical_formula_sum 'As1 Se1 Br2'
_cell_length_a 3.244
_cell_length_b 3.244
_cell_length_c 10.033
_cell_angle_alpha 90.00
_cell_angle_beta 90.00
_cell_angle_gamma 90.00
_symmetry_space_group_name_H-M 'P 4/m m m'
_symmetry_Int_Tables_number 123
_symmetry_space_group_name_Hall '-P 4 2'
loop_
_atom_site_label
_atom_site_fract_x
_atom_site_fract_y
_atom_site_fract_z
_atom_site_occupancy
As1 0.000 0.000 0.000 1
Se1 0.000 0.000 0.500 1
Br1 0.500 0.500 0.175 1
# E above lowest polymorph: 679 meV/atom

***

No. 17
# AsSeBr2 (PBE, optimized geometry)
data_AsSeBr2
_chemical_formula_sum 'As2 Se2 Br4'
_cell_length_a 3.573
_cell_length_b 4.545
_cell_length_c 14.772
_cell_angle_alpha 90.00
_cell_angle_beta 90.00
_cell_angle_gamma 90.00
_symmetry_space_group_name_H-M 'I m m m'
_symmetry_Int_Tables_number 71
_symmetry_space_group_name_Hall '-I 2 2'
loop_
_atom_site_label
_atom_site_fract_x
_atom_site_fract_y
_atom_site_fract_z
_atom_site_occupancy
As1 0.000 0.000 0.000 1
Se1 0.000 0.000 0.500 1
Br1 0.000 0.500 0.351 1
# E above lowest polymorph: 393 meV/atom

***

No. 18
# AsSeBr2 (PBE, optimized geometry)
data_AsSeBr2
_chemical_formula_sum 'As3 Se3 Br6'
_cell_length_a 3.5009
_cell_length_b 3.5009
_cell_length_c 28.7738
_cell_angle_alpha 90.00
_cell_angle_beta 90.00
_cell_angle_gamma 120.00
_symmetry_space_group_name_H-M 'R -3 m'
_symmetry_Int_Tables_number 166
_symmetry_space_group_name_Hall '-R 3 2"'
loop_
_atom_site_label
_atom_site_fract_x
_atom_site_fract_y
_atom_site_fract_z
_atom_site_occupancy
As1 0.0000 0.0000 0.0000 1
Se1 0.0000 0.0000 0.5000 1
Br1 0.0000 0.0000 0.4082 1
# E above lowest polymorph: 586 meV/atom

***

No. 19
# AsSeBr2 (PBE, optimized geometry)
data_AsSeBr2
_chemical_formula_sum 'As3 Se3 Br6'
_cell_length_a 3.7266
_cell_length_b 3.7266
_cell_length_c 28.1302
_cell_angle_alpha 90.00
_cell_angle_beta 90.00
_cell_angle_gamma 120.00
_symmetry_space_group_name_H-M 'R 3 m'
_symmetry_Int_Tables_number 160
_symmetry_space_group_name_Hall 'R 3 -2"'
loop_
_atom_site_label
_atom_site_fract_x
_atom_site_fract_y
_atom_site_fract_z
_atom_site_occupancy
As1 0.0000 0.0000 0.0000 1
Se1 0.0000 0.0000 0.7190 1
Br1 0.0000 0.0000 0.2668 1
Br2 0.0000 0.0000 0.4737 1
# E above lowest polymorph: 156 meV/atom

***

No. 20
Compound: AsSeBr
Source: Alexandria
Functional: PBE
Structure: optimized geometry

CIF file:
```
data_AsSeBr
_chemical_formula_sum 'As2 Se2 Br2'
_cell_length_a 3.348
_cell_length_b 3.348
_cell_length_c 14.203
_cell_angle_alpha 90.00
_cell_angle_beta 90.00
_cell_angle_gamma 90.00
_symmetry_space_group_name_H-M 'I 4 m m'
_symmetry_Int_Tables_number 107
_symmetry_space_group_name_Hall 'I 4 -2'
loop_
_atom_site_label
_atom_site_fract_x
_atom_site_fract_y
_atom_site_fract_z
_atom_site_occupancy
As1 0.000 0.000 0.000 1
Se1 0.000 0.000 0.587 1
Br1 0.000 0.000 0.324 1
```

***

For the records above, the corresponding energy relative to the elements, uncorrected values read 0.199; 0.613; -0.042; 0.538; -0.126; -0.323; 0.225; -0.775; 0.589; 0.466; 0.222; -0.456; -0.074; -0.194; -0.016; 0.498; 0.211; 0.405; -0.026; 0.188 eV/atom.